# AcY8Ho2 (PBE, optimized geometry)
# E above lowest polymorph (meV per atom): 0.0
# Calculated formation energy (eV per atom): 0.12
data_AcY8Ho2
_symmetry_space_group_name_H-M 'C 1 2/m 1'
_symmetry_Int_Tables_number 12
_cell_length_a 19.4890
_cell_length_b 7.0743
_cell_length_c 5.5299
_cell_angle_alpha 90.00
_cell_angle_beta 93.04
_cell_angle_gamma 90.00
loop_
_symmetry_equiv_pos_as_xyz
'x,y,z'
'-x,-y,-z'
'-x,y,-z'
'x,-y,z'
'x+1/2,y+1/2,z'
'-x+1/2,-y+1/2,-z'
'-x+1/2,y+1/2,-z'
'x+1/2,-y+1/2,z'
loop_
_atom_site_label
_atom_site_type_symbol
_atom_site_fract_x
_atom_site_fract_y
_atom_site_fract_z
Ac1 Ac 0.0000 0.0000 0.0000
Y1 Y 0.0478 0.5000 0.2390
Y2 Y 0.1365 0.2688 0.7297
Y3 Y 0.1908 0.0000 0.2351
Ho1 Ho 0.2148 0.5000 0.2462